(1)
VASP calculation (PBE-GGA) on an optimized crystal structure of MnTlCl3.

Properties
The calculated total energy is -4.43 eV/atom. As for the offset from the most stable computed form: 26 kJ/mol of formula units. For the density, the calculation gives 4.1 g/cm3. The calculation puts the volume at 29.5 Å³ per atom. As for the formation energy without anion corrections: -1018.0 meV per atom.

Cell: 9.047 7.794 10.050 Å, 90.00 123.64 90.00°
Space group P2_1/c (No. 14)
One atom of each set of equivalent atoms:
Mn 0.195 0.250 0.347 x4
Tl 0.249 0.730 0.126 x4
Cl 0.001 0.501 0.298 x4
Cl 0.187 0.176 0.593 x4
Cl 0.496 0.750 0.499 x4


(2)
VASP calculation (PBE-GGA) on an optimized crystal structure of Mn2Tl3Cl8.

Properties
The calculated total energy is -4.09 eV/atom. For the density, the calculation gives 4.2 g/cm3. The calculation puts the volume at 30.7 Å³ per atom. As for the formation energy without anion corrections: -1000.6 meV per atom.

Cell: 7.2031 7.2031 26.6668 Å, 90.00 90.00 120.00°
Space group R-3m (No. 166, hexagonal axes)
One atom of each set of equivalent atoms:
Mn 0.0000 0.0000 0.0948 x6
Tl 0.0000 0.0000 0.2956 x6
Tl 0.0000 0.0000 0.5000 x3
Cl 0.0000 0.0000 0.1801 x6
Cl 0.0086 0.5043 0.2685 x18


(3)
VASP calculation (PBE-GGA) on an optimized crystal structure of Mn2TlCl.

Properties
The calculated total energy is -5.49 eV/atom. As for the offset from the most stable computed form: 17 kJ/mol of formula units. For the density, the calculation gives 6.9 g/cm3. The calculation puts the volume at 20.9 Å³ per atom. As for the formation energy without anion corrections: 146.4 meV per atom.

Cell: 3.2578 3.2578 27.3159 Å, 90.00 90.00 120.00°
Space group R3m (No. 160, hexagonal axes)
One atom of each set of equivalent atoms:
Mn 0.0000 0.0000 0.0000 x3
Mn 0.0000 0.0000 0.2588 x3
Tl 0.0000 0.0000 0.7534 x3
Cl 0.0000 0.0000 0.5332 x3


(4)
VASP calculation (PBE-GGA) on an optimized crystal structure of Mn2TlCl.

Properties
The calculated total energy is -5.32 eV/atom. As for the offset from the most stable computed form: 83 kJ/mol of formula units. For the density, the calculation gives 7.6 g/cm3. The calculation puts the volume at 19.2 Å³ per atom. As for the formation energy without anion corrections: 317.3 meV per atom.

Cell: 3.168 3.168 7.660 Å, 90.00 90.00 90.00°
Space group P4/mmm (No. 123)
One atom of each set of equivalent atoms:
Mn 0.000 0.000 0.241 x2
Tl 0.500 0.500 0.500 x1
Cl 0.500 0.500 0.000 x1


(5)
VASP calculation (PBE-GGA) on an optimized crystal structure of Mn2TlCl.

Properties
The calculated total energy is -5.42 eV/atom. As for the offset from the most stable computed form: 44 kJ/mol of formula units. For the density, the calculation gives 7.3 g/cm3. The calculation puts the volume at 19.8 Å³ per atom. As for the formation energy without anion corrections: 216.6 meV per atom.

Cell: 3.3631 3.3631 24.2535 Å, 90.00 90.00 120.00°
Space group R-3m (No. 166, hexagonal axes)
One atom of each set of equivalent atoms:
Mn 0.0000 0.0000 0.2442 x6
Tl 0.0000 0.0000 0.0000 x3
Cl 0.0000 0.0000 0.5000 x3


(6)
VASP calculation (PBE-GGA) on an optimized crystal structure of MnTlCl2.

Properties
The calculated total energy is -4.30 eV/atom. As for the offset from the most stable computed form: 85 kJ/mol of formula units. For the density, the calculation gives 4.7 g/cm3. The calculation puts the volume at 28.9 Å³ per atom. As for the formation energy without anion corrections: -495.6 meV per atom.

Cell: 3.7733 3.7733 28.1321 Å, 90.00 90.00 120.00°
Space group R-3m (No. 166, hexagonal axes)
One atom of each set of equivalent atoms:
Mn 0.0000 0.0000 0.0000 x3
Tl 0.0000 0.0000 0.5000 x3
Cl 0.0000 0.0000 0.0785 x6


(7)
VASP calculation (PBE-GGA) on an optimized crystal structure of MnTlCl3.

Properties
The calculated total energy is -3.53 eV/atom. As for the offset from the most stable computed form: 463 kJ/mol of formula units. For the density, the calculation gives 3.7 g/cm3. The calculation puts the volume at 32.9 Å³ per atom. As for the formation energy without anion corrections: -112.1 meV per atom.

Cell: 5.480 5.480 5.480 Å, 90.00 90.00 90.00°
Space group Pm-3m (No. 221)
One atom of each set of equivalent atoms:
Mn 0.000 0.000 0.000 x1
Tl 0.500 0.500 0.500 x1
Cl 0.000 0.500 0.500 x3


(8)
VASP calculation (PBE-GGA) on an optimized crystal structure of Mn2TlCl.

Properties
The calculated total energy is -5.29 eV/atom. As for the offset from the most stable computed form: 96 kJ/mol of formula units. For the density, the calculation gives 7.0 g/cm3. The calculation puts the volume at 20.6 Å³ per atom. As for the formation energy without anion corrections: 349.4 meV per atom.

Cell: 7.174 7.174 6.415 Å, 90.00 90.00 90.00°
Space group I-42d (No. 122)
One atom of each set of equivalent atoms:
Mn 0.213 0.250 0.125 x8
Tl 0.000 0.000 0.500 x4
Cl 0.000 0.000 0.000 x4


calculated total energy of number 1 (MnTlCl3)? -4.43 eV/atom


Among the records above, which one has the lowest formation energy without anion corrections? number 1